Entry 1:
{
  "formula": "CaPbSe",
  "functional": "PBE",
  "state": "optimized geometry",
  "e_above_lowest_polymorph_ev_per_fu": 1.23,
  "dos_ef_per_ev_fu": 2.66,
  "lattice": [[5.094, 0.000, 0.000], [2.547, 4.412, 0.000], [2.547, 1.471, 4.159]],
  "species": ["Ca", "Pb", "Se"],
  "fractional_positions": [[0.000, 0.000, 0.000], [0.500, 0.500, 0.500], [0.750, 0.750, 0.750]]
}

***

Entry 2:
{
  "formula": "CeY2Th",
  "functional": "PBE",
  "state": "optimized geometry",
  "formation_energy_kj_per_mol_fu": 32,
  "e_above_lowest_polymorph_ev_per_fu": 0.01,
  "dos_ef_per_ev_fu": 7.63,
  "lattice": [[-0.415, -3.426, 0.739], [-0.223, -0.717, -3.449], [10.153, -1.313, -0.384]],
  "species": ["Y", "Y", "Ce", "Th"],
  "fractional_positions": [[0.000, 0.000, 0.752], [0.000, 0.000, 0.248], [0.500, 0.500, 0.500], [0.500, 0.500, 0.000]]
}

***

Entry 3:
{
  "formula": "Li9Sn4Bi11",
  "functional": "PBE",
  "state": "optimized geometry",
  "formation_energy_kj_per_mol_fu": -496,
  "dos_ef_per_ev_fu": 9.86,
  "lattice": [[3.436, 0.000, 0.000], [0.000, 12.986, -3.733], [0.000, 1.669, 13.408]],
  "species": ["Li", "Li", "Li", "Li", "Li", "Li", "Li", "Li", "Li", "Bi", "Bi", "Bi", "Bi", "Bi", "Bi", "Bi", "Bi", "Bi", "Bi", "Bi", "Sn", "Sn", "Sn", "Sn"],
  "fractional_positions": [[0.500, 0.201, 0.994], [0.500, 0.006, 0.799], [0.500, 0.607, 0.149], [0.500, 0.851, 0.393], [0.500, 0.393, 0.851], [0.500, 0.994, 0.201], [0.500, 0.500, 0.500], [0.500, 0.799, 0.006], [0.500, 0.149, 0.607], [0.000, 0.366, 0.634], [0.000, 0.804, 0.196], [0.000, 0.055, 0.400], [0.000, 0.945, 0.600], [0.000, 0.193, 0.193], [0.000, 0.400, 0.055], [0.000, 0.634, 0.366], [0.000, 0.196, 0.804], [0.000, 0.807, 0.807], [0.000, 0.600, 0.945], [0.000, 0.000, 0.000], [0.500, 0.274, 0.426], [0.500, 0.726, 0.574], [0.500, 0.426, 0.274], [0.500, 0.574, 0.726]]
}

***

Entry 4:
{
  "formula": "Na2CoSe",
  "functional": "PBE",
  "state": "optimized geometry",
  "dos_ef_per_ev_fu": 3.21,
  "e_tot_ev_per_atom": -3.04,
  "lattice": [[-3.749, -0.548, 1.232], [-0.204, -3.368, -2.118], [1.400, -7.169, 7.517]],
  "species": ["Co", "Co", "Na", "Na", "Na", "Na", "Se", "Se"],
  "fractional_positions": [[0.500, 0.500, 0.000], [0.250, 0.750, 0.500], [0.120, 0.625, 0.250], [0.630, 0.125, 0.250], [0.875, 0.880, 0.750], [0.375, 0.370, 0.750], [0.000, 0.000, 0.000], [0.750, 0.250, 0.500]]
}

***

Entry 5:
{
  "formula": "SnMo2N",
  "functional": "PBE",
  "state": "optimized geometry",
  "e_above_lowest_polymorph_ev_per_fu": 4.06,
  "dos_ef_per_ev_fu": 4.21,
  "lattice": [[3.703, -2.362, -0.379], [2.050, -1.480, 3.612], [-0.027, -4.307, 0.941]],
  "species": ["Mo", "Mo", "Sn", "N"],
  "fractional_positions": [[0.250, 0.250, 0.250], [0.750, 0.750, 0.750], [0.500, 0.500, 0.500], [0.000, 0.000, 0.000]]
}

***

Entry 6:
{
  "formula": "SbRhN2F",
  "functional": "PBE",
  "state": "optimized geometry",
  "e_above_lowest_polymorph_ev_per_fu": 1.57,
  "dos_ef_per_ev_fu": 4.42,
  "lattice": [[4.068, 0.000, 0.000], [0.000, 4.068, 0.000], [0.000, 0.000, 3.984]],
  "species": ["F", "Rh", "N", "N", "Sb"],
  "fractional_positions": [[0.000, 0.000, 0.500], [0.500, 0.500, 0.500], [0.000, 0.500, 0.000], [0.500, 0.000, 0.000], [0.000, 0.000, 0.000]]
}

***

Entry 7:
{
  "formula": "YGa4CoRu2",
  "functional": "PBE",
  "state": "optimized geometry",
  "formation_energy_kj_per_mol_fu": -313,
  "dos_ef_per_ev_fu": 4.07,
  "lattice": [[4.211, 0.000, 0.000], [2.106, 3.647, 0.000], [2.106, 1.216, 8.370]],
  "species": ["Ga", "Ga", "Ga", "Ga", "Ru", "Ru", "Y", "Co"],
  "fractional_positions": [[0.598, 0.598, 0.206], [0.867, 0.867, 0.399], [0.133, 0.133, 0.601], [0.402, 0.402, 0.794], [0.763, 0.763, 0.710], [0.237, 0.237, 0.290], [0.000, 0.000, 0.000], [0.500, 0.500, 0.500]]
}

***

Entry 8:
{
  "formula": "NdCo3Si3",
  "functional": "PBE",
  "state": "optimized geometry",
  "e_above_lowest_polymorph_ev_per_fu": 0.00,
  "dos_ef_per_ev_fu": 7.44,
  "lattice": [[6.173, 0.000, 0.000], [3.087, 5.346, 0.000], [3.087, 1.782, 6.948]],
  "species": ["Co", "Co", "Co", "Co", "Co", "Co", "Si", "Si", "Si", "Si", "Si", "Si", "Nd", "Nd"],
  "fractional_positions": [[0.919, 0.460, 0.381], [0.081, 0.540, 0.619], [0.240, 0.919, 0.381], [0.760, 0.081, 0.619], [0.540, 0.760, 0.619], [0.460, 0.240, 0.381], [0.660, 0.871, 0.290], [0.129, 0.821, 0.710], [0.340, 0.129, 0.710], [0.179, 0.660, 0.290], [0.871, 0.179, 0.290], [0.821, 0.340, 0.710], [0.330, 0.330, 0.009], [0.670, 0.670, 0.991]]
}

***

Entry 9:
{
  "formula": "InOs2Br",
  "functional": "PBE",
  "state": "optimized geometry",
  "e_above_lowest_polymorph_ev_per_fu": 0.00,
  "dos_ef_per_ev_fu": 2.82,
  "lattice": [[-2.694, -0.844, 2.064], [-0.716, -2.118, -1.802], [3.950, -7.128, 2.240]],
  "species": ["Os", "Os", "In", "Br"],
  "fractional_positions": [[0.500, 0.428, 0.197], [0.000, 0.083, 0.042], [0.500, 0.822, 0.803], [0.000, 0.167, 0.458]]
}

***

Entry 10:
{
  "formula": "Al2OsCl",
  "functional": "PBE",
  "state": "optimized geometry",
  "e_above_lowest_polymorph_ev_per_fu": 4.10,
  "dos_ef_per_ev_fu": 2.00,
  "lattice": [[0.018, 4.241, -1.731], [-2.352, -0.926, -3.820], [-1.423, -1.055, 4.224]],
  "species": ["Os", "Al", "Al", "Cl"],
  "fractional_positions": [[0.750, 0.250, 0.500], [0.000, 0.000, 0.000], [0.250, 0.750, 0.500], [0.500, 0.500, 0.000]]
}

***

Entry 11:
{
  "formula": "CaAl2Si2O10",
  "functional": "PBE",
  "state": "optimized geometry",
  "e_above_lowest_polymorph_ev_per_fu": 1.60,
  "dos_ef_per_ev_fu": 4.46,
  "lattice": [[-5.284, 12.618, 2.436], [-3.899, -2.003, 1.920], [1.190, -0.474, 5.034]],
  "species": ["Si", "Si", "Si", "Si", "O", "O", "O", "O", "O", "O", "O", "O", "O", "O", "O", "O", "O", "O", "O", "O", "O", "O", "O", "O", "Ca", "Ca", "Al", "Al", "Al", "Al"],
  "fractional_positions": [[0.843, 0.596, 0.280], [0.657, 0.596, 0.280], [0.157, 0.404, 0.720], [0.343, 0.404, 0.720], [0.385, 0.166, 0.554], [0.633, 0.525, 0.978], [0.021, 0.083, 0.078], [0.950, 0.377, 0.368], [0.115, 0.166, 0.554], [0.885, 0.834, 0.446], [0.250, 0.608, 0.544], [0.133, 0.475, 0.022], [0.450, 0.623, 0.632], [0.750, 0.834, 0.140], [0.479, 0.083, 0.078], [0.615, 0.834, 0.446], [0.050, 0.623, 0.632], [0.250, 0.166, 0.860], [0.367, 0.475, 0.022], [0.521, 0.917, 0.922], [0.550, 0.377, 0.368], [0.979, 0.917, 0.922], [0.867, 0.525, 0.978], [0.750, 0.392, 0.456], [0.250, 0.109, 0.305], [0.750, 0.891, 0.695], [0.000, 0.500, 0.000], [0.000, 0.000, 0.500], [0.500, 0.500, 0.000], [0.500, 0.000, 0.500]]
}

***

Entry 12:
{
  "formula": "RbAlTl2",
  "functional": "PBE",
  "state": "optimized geometry",
  "formation_energy_kj_per_mol_fu": 12,
  "e_above_lowest_polymorph_ev_per_fu": 0.00,
  "dos_ef_per_ev_fu": 1.10,
  "lattice": [[-2.340, -2.899, -2.924], [1.857, -1.121, -4.210], [3.224, -7.134, 0.657]],
  "species": ["Al", "Tl", "Tl", "Rb"],
  "fractional_positions": [[0.000, 0.000, 0.000], [0.283, 0.283, 0.151], [0.717, 0.717, 0.849], [0.500, 0.500, 0.500]]
}

***

no.,total magnetic moment (μB per formula unit)
1,0.00
2,1.05
3,0.00
4,1.26
5,0.97
6,0.55
7,0.00
8,0.00
9,0.00
10,0.00
11,2.05
12,0.00